An optimized crystal structure of Rb2PdI3. Source: the Alexandria database, functional GGA-PBE.

Summary:
E_form (uncorrected) in eV per atom: -0.91

Unit cell a=11.449 b=11.449 c=9.169 alpha=90.00 beta=90.00 gamma=154.65
Element x y z (fractional)
Rb: 0.016 0.984 0.750
Rb: 0.189 0.811 0.250
Rb: 0.811 0.189 0.750
Rb: 0.984 0.016 0.250
Pd: 0.363 0.637 0.250
Pd: 0.637 0.363 0.750
I: 0.186 0.814 0.750
I: 0.403 0.597 0.533
I: 0.403 0.597 0.967
I: 0.597 0.403 0.033
I: 0.597 0.403 0.467
I: 0.814 0.186 0.250